DFT (PBE+U) results for a relaxed structure of CoNiGe2O6.

## Properties
**Total DFT energy (no corrections)**: -60.28 eV per formula unit
**Total magnetization**: 0.50 μB per atom
**Calculated volume**: 12.56 Å³/atom

Cell lengths 5.622, 7.477, 7.477 Å; angles 74.53, 63.58, 63.58 degrees
Atoms (fractional coordinates):
Ni 0.250 0.756 0.244
Ni 0.750 0.244 0.756
Co 0.250 0.105 0.895
Co 0.750 0.895 0.105
Ge 0.212 0.384 0.202
Ge 0.788 0.616 0.798
Ge 0.712 0.202 0.384
Ge 0.288 0.798 0.616
O 0.076 0.681 0.607
O 0.576 0.607 0.681
O 0.419 0.206 0.023
O 0.597 0.123 0.640
O 0.581 0.794 0.977
O 0.903 0.360 0.877
O 0.403 0.877 0.360
O 0.924 0.319 0.393
O 0.424 0.393 0.319
O 0.097 0.640 0.123
O 0.081 0.977 0.794
O 0.919 0.023 0.206